The following is a DFT calculation (PBE) of a geometry-optimized Pm5PaS6 structure.

Summary:
Theoretical density, g cm⁻³: 6.988
Formation energy (no corrections), eV per atom: -1.946

Cell lengths 6.9366, 6.9366, 6.9415 Å; angles 99.61, 99.61, 119.93 degrees
Atoms (fractional coordinates):
Pm  0.0000  0.0000  0.0000
Pm  0.1660  0.8340  0.5000
Pm  0.3262  0.6738  0.0000
Pm  0.6738  0.3262  0.0000
Pm  0.8340  0.1660  0.5000
Pa  0.5000  0.5000  0.5000
S  0.0938  0.4188  0.2563
S  0.2590  0.2590  0.7506
S  0.4188  0.0938  0.2563
S  0.5812  0.9062  0.7437
S  0.7410  0.7410  0.2494
S  0.9062  0.5812  0.7437

---

The following is a DFT calculation (PBE) of a geometry-optimized Pm6PaS12 structure.

Summary:
Theoretical density, g cm⁻³: 4.942
Formation energy (no corrections), eV per atom: -1.879

Cell lengths 8.0470, 8.0470, 8.0470 Å; angles 99.05, 99.05, 99.05 degrees
Atoms (fractional coordinates):
Pm  0.1295  0.6391  0.8073
Pm  0.1927  0.8705  0.3609
Pm  0.3609  0.1927  0.8705
Pm  0.6391  0.8073  0.1295
Pm  0.8073  0.1295  0.6391
Pm  0.8705  0.3609  0.1927
Pa  0.5000  0.5000  0.5000
S  0.0662  0.3221  0.9199
S  0.0801  0.9338  0.6779
S  0.1789  0.5378  0.4329
S  0.3221  0.9199  0.0662
S  0.4329  0.1789  0.5378
S  0.4622  0.5671  0.8211
S  0.5378  0.4329  0.1789
S  0.5671  0.8211  0.4622
S  0.6779  0.0801  0.9338
S  0.8211  0.4622  0.5671
S  0.9199  0.0662  0.3221
S  0.9338  0.6779  0.0801

---

The following is a DFT calculation (PBE) of a geometry-optimized Pm4Pa3S8 structure.

Summary:
Theoretical density, g cm⁻³: 7.292
Formation energy (no corrections), eV per atom: -1.846

Cell lengths 7.8956, 7.8956, 7.8767 Å; angles 119.85, 119.85, 90.15 degrees
Atoms (fractional coordinates):
Pm  0.0000  0.0000  0.0000
Pm  0.0000  0.5000  0.0000
Pm  0.5000  0.0000  0.0000
Pm  0.5000  0.5000  0.5000
Pa  0.0000  0.5000  0.5000
Pa  0.5000  0.0000  0.5000
Pa  0.5000  0.5000  0.0000
S  0.2454  0.7546  0.5000
S  0.2470  0.2470  0.5055
S  0.2501  0.2501  0.9894
S  0.2521  0.7479  0.0000
S  0.7479  0.2521  0.0000
S  0.7499  0.7499  0.0106
S  0.7530  0.7530  0.4945
S  0.7546  0.2454  0.5000